Record 1
VASP calculation (GGA-PBE) on crystalline KPm2Co at its relaxed geometry.

```
data_KPm2Co
_chemical_formula_sum 'K3 Pm6 Co3'
_cell_length_a 4.0141
_cell_length_b 4.0141
_cell_length_c 33.3947
_cell_angle_alpha 90.00
_cell_angle_beta 90.00
_cell_angle_gamma 120.00
_symmetry_space_group_name_H-M 'R -3 m'
_symmetry_Int_Tables_number 166
_symmetry_space_group_name_Hall '-R 3 2"'
loop_
_atom_site_label
_atom_site_fract_x
_atom_site_fract_y
_atom_site_fract_z
_atom_site_occupancy
K1 0.0000 0.0000 0.0000 1
Pm1 0.0000 0.0000 0.1238 1
Co1 0.0000 0.0000 0.5000 1
```

Calculated values
Total energy = -4.3451 eV/atom


Record 2
VASP calculation (GGA-PBE) on crystalline KPr2Co at its relaxed geometry.

```
data_KPr2Co
_chemical_formula_sum 'K3 Pr6 Co3'
_cell_length_a 4.0717
_cell_length_b 4.0717
_cell_length_c 33.7266
_cell_angle_alpha 90.00
_cell_angle_beta 90.00
_cell_angle_gamma 120.00
_symmetry_space_group_name_H-M 'R -3 m'
_symmetry_Int_Tables_number 166
_symmetry_space_group_name_Hall '-R 3 2"'
loop_
_atom_site_label
_atom_site_fract_x
_atom_site_fract_y
_atom_site_fract_z
_atom_site_occupancy
K1 0.0000 0.0000 0.0000 1
Pr1 0.0000 0.0000 0.1236 1
Co1 0.0000 0.0000 0.5000 1
```

Calculated values
Total energy = -4.3453 eV/atom


Record 3
VASP calculation (GGA-PBE) on crystalline K3CoPt at its relaxed geometry.

```
data_K3CoPt
_chemical_formula_sum 'K3 Co1 Pt1'
_cell_length_a 6.1289
_cell_length_b 6.1289
_cell_length_c 6.1289
_cell_angle_alpha 90.00
_cell_angle_beta 90.00
_cell_angle_gamma 90.00
_symmetry_space_group_name_H-M 'P m -3 m'
_symmetry_Int_Tables_number 221
_symmetry_space_group_name_Hall '-P 4 2 3'
loop_
_atom_site_label
_atom_site_fract_x
_atom_site_fract_y
_atom_site_fract_z
_atom_site_occupancy
K1 0.0000 0.0000 0.5000 1
Co1 0.5000 0.5000 0.5000 1
Pt1 0.0000 0.0000 0.0000 1
```

Calculated values
E above lowest polymorph = 0.00 eV per formula unit


Record 4
VASP calculation (GGA-PBE) on crystalline KCo2Pt at its relaxed geometry.

```
data_KCo2Pt
_chemical_formula_sum 'K2 Co4 Pt2'
_cell_length_a 9.1853
_cell_length_b 2.8394
_cell_length_c 6.2834
_cell_angle_alpha 90.00
_cell_angle_beta 97.79
_cell_angle_gamma 90.00
_symmetry_space_group_name_H-M 'C 1 2/m 1'
_symmetry_Int_Tables_number 12
loop_
_symmetry_equiv_pos_as_xyz
'x,y,z'
'-x,-y,-z'
'-x,y,-z'
'x,-y,z'
'x+1/2,y+1/2,z'
'-x+1/2,-y+1/2,-z'
'-x+1/2,y+1/2,-z'
'x+1/2,-y+1/2,z'
loop_
_atom_site_label
_atom_site_fract_x
_atom_site_fract_y
_atom_site_fract_z
_atom_site_occupancy
K1 0.0000 0.0000 0.0000 1
Co1 0.2237 0.0000 0.6272 1
Pt1 0.0000 0.5000 0.5000 1
```

Calculated values
E above lowest polymorph = 0.24 eV per formula unit


Record 5
VASP calculation (GGA-PBE) on crystalline KCo2Pt at its relaxed geometry.

```
data_KCo2Pt
_chemical_formula_sum 'K1 Co2 Pt1'
_cell_length_a 2.7052
_cell_length_b 4.9155
_cell_length_c 5.0660
_cell_angle_alpha 90.00
_cell_angle_beta 90.00
_cell_angle_gamma 90.00
_symmetry_space_group_name_H-M 'P m m m'
_symmetry_Int_Tables_number 47
loop_
_symmetry_equiv_pos_as_xyz
'x,y,z'
'-x,-y,-z'
'-x,-y,z'
'x,y,-z'
'x,-y,-z'
'-x,y,z'
'-x,y,-z'
'x,-y,z'
loop_
_atom_site_label
_atom_site_fract_x
_atom_site_fract_y
_atom_site_fract_z
_atom_site_occupancy
K1 0.0000 0.0000 0.0000 1
Co1 0.0000 0.5000 0.5000 1
Co2 0.5000 0.5000 0.0000 1
Pt1 0.5000 0.0000 0.5000 1
```

Calculated values
E above lowest polymorph = 2.13 eV per formula unit


Record 6
VASP calculation (GGA-PBE) on crystalline KCo3Pt at its relaxed geometry.

```
data_KCo3Pt
_chemical_formula_sum 'K1 Co3 Pt1'
_cell_length_a 4.3273
_cell_length_b 4.3273
_cell_length_c 4.3273
_cell_angle_alpha 90.00
_cell_angle_beta 90.00
_cell_angle_gamma 90.00
_symmetry_space_group_name_H-M 'P m -3 m'
_symmetry_Int_Tables_number 221
_symmetry_space_group_name_Hall '-P 4 2 3'
loop_
_atom_site_label
_atom_site_fract_x
_atom_site_fract_y
_atom_site_fract_z
_atom_site_occupancy
K1 0.0000 0.0000 0.0000 1
Co1 0.0000 0.0000 0.5000 1
Pt1 0.5000 0.5000 0.5000 1
```

Calculated values
E above lowest polymorph = 6.54 eV per formula unit


Record 7
VASP calculation (GGA-PBE) on crystalline KCo2Pt at its relaxed geometry.

```
data_KCo2Pt
_chemical_formula_sum 'K2 Co4 Pt2'
_cell_length_a 2.6882
_cell_length_b 5.1150
_cell_length_c 10.0391
_cell_angle_alpha 90.00
_cell_angle_beta 90.00
_cell_angle_gamma 90.00
_symmetry_space_group_name_H-M 'I m m 2'
_symmetry_Int_Tables_number 44
loop_
_symmetry_equiv_pos_as_xyz
'x,y,z'
'-x,-y,z'
'-x,y,z'
'x,-y,z'
'x+1/2,y+1/2,z+1/2'
'-x+1/2,-y+1/2,z+1/2'
'-x+1/2,y+1/2,z+1/2'
'x+1/2,-y+1/2,z+1/2'
loop_
_atom_site_label
_atom_site_fract_x
_atom_site_fract_y
_atom_site_fract_z
_atom_site_occupancy
K1 0.0000 0.0000 0.0000 1
Co1 0.0000 0.0000 0.5156 1
Co2 0.0000 0.5000 0.2079 1
Pt1 0.0000 0.5000 0.7956 1
```

Calculated values
E above lowest polymorph = 0.93 eV per formula unit


Record 8
VASP calculation (GGA-PBE) on crystalline KCo2Pt at its relaxed geometry.

```
data_KCo2Pt
_chemical_formula_sum 'K1 Co2 Pt1'
_cell_length_a 2.7550
_cell_length_b 2.7550
_cell_length_c 9.0884
_cell_angle_alpha 90.00
_cell_angle_beta 90.00
_cell_angle_gamma 90.00
_symmetry_space_group_name_H-M 'P 4/m m m'
_symmetry_Int_Tables_number 123
_symmetry_space_group_name_Hall '-P 4 2'
loop_
_atom_site_label
_atom_site_fract_x
_atom_site_fract_y
_atom_site_fract_z
_atom_site_occupancy
K1 0.0000 0.0000 0.0000 1
Co1 0.5000 0.5000 0.3040 1
Pt1 0.0000 0.0000 0.5000 1
```

Calculated values
E above lowest polymorph = 1.02 eV per formula unit


Record 9
VASP calculation (GGA-PBE) on crystalline KCo2Pt at its relaxed geometry.

```
data_KCo2Pt
_chemical_formula_sum 'K2 Co4 Pt2'
_cell_length_a 5.9368
_cell_length_b 8.0856
_cell_length_c 2.6646
_cell_angle_alpha 90.00
_cell_angle_beta 90.00
_cell_angle_gamma 90.00
_symmetry_space_group_name_H-M 'C m m m'
_symmetry_Int_Tables_number 65
_symmetry_space_group_name_Hall '-C 2 2'
loop_
_atom_site_label
_atom_site_fract_x
_atom_site_fract_y
_atom_site_fract_z
_atom_site_occupancy
K1 0.0000 0.0000 0.0000 1
Co1 0.2500 0.2500 0.5000 1
Pt1 0.0000 0.5000 0.0000 1
```

Calculated values
E above lowest polymorph = 1.82 eV per formula unit


Record 10
VASP calculation (GGA-PBE) on crystalline KCo2Pt at its relaxed geometry.

```
data_KCo2Pt
_chemical_formula_sum 'K1 Co2 Pt1'
_cell_length_a 2.7115
_cell_length_b 3.9935
_cell_length_c 7.0958
_cell_angle_alpha 90.00
_cell_angle_beta 90.00
_cell_angle_gamma 90.00
_symmetry_space_group_name_H-M 'P m m m'
_symmetry_Int_Tables_number 47
loop_
_symmetry_equiv_pos_as_xyz
'x,y,z'
'-x,-y,-z'
'-x,-y,z'
'x,y,-z'
'x,-y,-z'
'-x,y,z'
'-x,y,-z'
'x,-y,z'
loop_
_atom_site_label
_atom_site_fract_x
_atom_site_fract_y
_atom_site_fract_z
_atom_site_occupancy
K1 0.0000 0.0000 0.0000 1
Co1 0.5000 0.5000 0.3466 1
Pt1 0.0000 0.0000 0.5000 1
```

Calculated values
E above lowest polymorph = 0.39 eV per formula unit


Record 11
VASP calculation (GGA-PBE) on crystalline KCo2Pt at its relaxed geometry.

```
data_KCo2Pt
_chemical_formula_sum 'K3 Co6 Pt3'
_cell_length_a 2.7540
_cell_length_b 2.7540
_cell_length_c 29.8237
_cell_angle_alpha 90.00
_cell_angle_beta 90.00
_cell_angle_gamma 120.00
_symmetry_space_group_name_H-M 'R -3 m'
_symmetry_Int_Tables_number 166
_symmetry_space_group_name_Hall '-R 3 2"'
loop_
_atom_site_label
_atom_site_fract_x
_atom_site_fract_y
_atom_site_fract_z
_atom_site_occupancy
K1 0.0000 0.0000 0.0000 1
Co1 0.0000 0.0000 0.2380 1
Pt1 0.0000 0.0000 0.5000 1
```

Calculated values
E above lowest polymorph = 1.25 eV per formula unit


Record 12
VASP calculation (GGA-PBE) on crystalline K4CoPt at its relaxed geometry.

```
data_K4CoPt
_chemical_formula_sum 'K16 Co4 Pt4'
_cell_length_a 9.3270
_cell_length_b 9.3270
_cell_length_c 9.3270
_cell_angle_alpha 90.00
_cell_angle_beta 90.00
_cell_angle_gamma 90.00
_symmetry_space_group_name_H-M 'F -4 3 m'
_symmetry_Int_Tables_number 216
_symmetry_space_group_name_Hall 'F -4 2 3'
loop_
_atom_site_label
_atom_site_fract_x
_atom_site_fract_y
_atom_site_fract_z
_atom_site_occupancy
K1 0.1240 0.1240 0.1240 1
Co1 0.0000 0.0000 0.5000 1
Pt1 0.2500 0.2500 0.7500 1
```

Calculated values
Total energy = -1.9439 eV/atom


| no. | theoretical density (g cm⁻³) |
| --- | --- |
| 1 | 4.1 |
| 2 | 3.9 |
| 3 | 2.7 |
| 4 | 7.2 |
| 5 | 8.7 |
| 6 | 8.4 |
| 7 | 8.5 |
| 8 | 8.5 |
| 9 | 9.1 |
| 10 | 7.6 |
| 11 | 9.0 |
| 12 | 3.4 |